(1)
TiZnW3 PBE-GGA optimized geometry; E above lowest polymorph = 150 meV/atom; V = 19.278 A^3/atom
1.0
-4.3698 1.3673 -0.2399
-1.1366 -3.0691 3.2111
0.7970 3.1198 3.2640
Zn W Ti
1 3 1
Cartesian
-2.3547 0.7090 3.1176
-0.5683 -1.5346 1.6055
0.3985 1.5599 1.6320
-2.1849 0.6836 -0.1199
0.0000 0.0000 0.0000



(2)
Ti2ZnW PBE-GGA optimized geometry; V = 16.020 A^3/atom; raw total energy = -7.6405 eV/atom
1.0
-2.2509 0.1481 2.3198
-1.1908 -2.8467 -0.9737
3.7762 -2.8960 3.8489
Zn W Ti
1 1 2
Cartesian
0.1673 -2.7973 2.5975
-1.7208 -1.3493 0.6731
2.8741 -2.2041 2.9294
0.9022 -0.6919 0.9195



(3)
Ti5Zn2W PBE-GGA optimized geometry; V = 16.147 A^3/atom; raw total energy = -6.9700 eV/atom
1.0
-1.3633 -1.3337 -4.1518
3.5875 2.1299 -1.8622
2.2457 -5.5662 3.5646
Ti Zn W
5 2 1
Cartesian
1.1121 0.3981 -3.0070
1.8560 -4.5726 -1.6545
4.3314 -2.8408 -0.5097
2.6139 -0.1973 -0.7949
0.1385 -1.9291 -1.9397
2.7830 -2.1736 -2.7295
1.6869 -2.5963 0.2801
0.0000 0.0000 0.0000



(4)
ZrTiW4 PBE-GGA optimized geometry; V = 18.063 A^3/atom; raw total energy = -11.4264 eV/atom
1.0
-4.5521 2.6492 0.9486
-2.1491 -0.0424 4.9009
0.0607 4.4401 2.9869
Zr Ti W
1 1 4
Cartesian
0.0000 0.0000 0.0000
-1.6601 1.7617 2.2091
-4.1801 2.1851 4.0295
-3.0759 4.4249 3.0732
-1.8753 3.0800 5.0480
-4.1498 4.4037 5.5220



(5)
ZrTi3W PBE-GGA optimized geometry; E above lowest polymorph = 0 meV/atom; V = 18.777 A^3/atom
1.0
-1.9448 -4.5886 -1.5903
4.3617 -0.5745 -3.6765
1.1498 -2.6530 6.2491
Zr Ti W
2 6 2
Cartesian
2.2829 -3.5917 3.2695
1.2839 -4.2245 -2.2872
3.7935 -3.2872 0.5437
-0.2268 -4.5289 0.4386
1.5823 -2.1731 0.0330
1.9844 -5.6431 0.9493
3.8134 -2.4669 -1.8476
-0.2467 -5.3492 2.8299
0.0000 0.0000 0.0000
-0.9724 -2.2943 -0.7951



(6)
Zr3TiW PBE-GGA optimized geometry; E above lowest polymorph = 0 meV/atom; V = 25.972 A^3/atom
1.0
-1.4577 -4.6665 -1.3201
2.0705 -1.8454 4.2369
-4.3854 0.6799 2.4392
Zr W Ti
3 1 1
Cartesian
1.0353 -0.9227 2.1185
-2.1927 0.3399 1.2196
-0.7289 -2.3332 -0.6601
0.0000 0.0000 0.0000
-1.8863 -2.9160 2.6780